First-principles (PBE) data for crystalline Cs2RbGa3F12 at its relaxed geometry, as listed in Alexandria.

```
data_Cs2RbGa3F12
_cell_length_a 7.5460
_cell_length_b 7.5460
_cell_length_c 19.0883
_cell_angle_alpha 90.00
_cell_angle_beta 90.00
_cell_angle_gamma 120.00
_symmetry_space_group_name_H-M 'R -3 m'
_symmetry_Int_Tables_number 166
_symmetry_space_group_name_Hall '-R 3 2"'
loop_
_atom_site_label
_atom_site_fract_x
_atom_site_fract_y
_atom_site_fract_z
Cs1 0.0000 0.0000 0.1173
Rb1 0.0000 0.0000 0.5000
Ga1 0.0000 0.5000 0.0000
F1 0.0400 0.5200 0.9045
F2 0.0800 0.5400 0.3206
```

Values from the calculation:
- E_tot (eV per cell) = -252.2
- formation energy (no corrections) (eV/atom) = -2.769
- Fermi-level density of states (states/eV/cell) = 0.00
- total magnetization (μB per formula unit) = 0.00

First-principles (PBE) data for crystalline Na2Tl2Sb at its relaxed geometry, as listed in Alexandria.

```
data_Na2Tl2Sb
_cell_length_a 8.813
_cell_length_b 8.813
_cell_length_c 3.623
_cell_angle_alpha 90.00
_cell_angle_beta 90.00
_cell_angle_gamma 90.00
_symmetry_space_group_name_H-M 'P 4/m b m'
_symmetry_Int_Tables_number 127
_symmetry_space_group_name_Hall '-P 4 2ab'
loop_
_atom_site_label
_atom_site_fract_x
_atom_site_fract_y
_atom_site_fract_z
Na1 0.171 0.329 0.000
Tl1 0.130 0.630 0.500
Sb1 0.000 0.000 0.500
```

Values from the calculation:
- E_tot (eV per cell) = -23.6
- formation energy (no corrections) (eV/atom) = -0.059
- Fermi-level density of states (states/eV/cell) = 5.18
- total magnetization (μB per formula unit) = 0.00

First-principles (PBE) data for crystalline TcSb at its relaxed geometry, as listed in Alexandria.

```
data_TcSb
_cell_length_a 4.1633
_cell_length_b 4.1633
_cell_length_c 18.2423
_cell_angle_alpha 90.00
_cell_angle_beta 90.00
_cell_angle_gamma 120.00
_symmetry_space_group_name_H-M 'R -3 m'
_symmetry_Int_Tables_number 166
_symmetry_space_group_name_Hall '-R 3 2"'
loop_
_atom_site_label
_atom_site_fract_x
_atom_site_fract_y
_atom_site_fract_z
Tc1 0.0000 0.0000 0.1534
Sb1 0.0000 0.0000 0.4041
```

Values from the calculation:
- E_tot (eV per cell) = -83.8
- formation energy (no corrections) (eV/atom) = 0.259
- Fermi-level density of states (states/eV/cell) = 7.51
- total magnetization (μB per formula unit) = 0.00

First-principles (PBE) data for crystalline KBrO2 at its relaxed geometry, as listed in Alexandria.

```
data_KBrO2
_cell_length_a 6.328
_cell_length_b 6.328
_cell_length_c 6.328
_cell_angle_alpha 90.00
_cell_angle_beta 90.00
_cell_angle_gamma 90.00
_symmetry_space_group_name_H-M 'F m -3 m'
_symmetry_Int_Tables_number 225
_symmetry_space_group_name_Hall '-F 4 2 3'
loop_
_atom_site_label
_atom_site_fract_x
_atom_site_fract_y
_atom_site_fract_z
K1 0.000 0.000 0.000
Br1 0.000 0.000 0.500
O1 0.250 0.250 0.250
```

Values from the calculation:
- E_tot (eV per cell) = -44.3
- formation energy (no corrections) (eV/atom) = 0.400
- Fermi-level density of states (states/eV/cell) = 5.45
- total magnetization (μB per formula unit) = 0.00

First-principles (PBE) data for crystalline Zn2In5Hg4 at its relaxed geometry, as listed in Alexandria.

```
data_Zn2In5Hg4
_cell_length_a 14.137
_cell_length_b 4.253
_cell_length_c 9.520
_cell_angle_alpha 90.00
_cell_angle_beta 94.44
_cell_angle_gamma 90.00
_symmetry_space_group_name_H-M 'C 1 2/m 1'
_symmetry_Int_Tables_number 12
_symmetry_space_group_name_Hall '-C 2y'
loop_
_atom_site_label
_atom_site_fract_x
_atom_site_fract_y
_atom_site_fract_z
Zn1 0.029 0.000 0.134
In1 0.000 0.000 0.500
In2 0.149 0.500 0.023
In3 0.168 0.500 0.443
Hg1 0.048 0.500 0.727
Hg2 0.231 0.000 0.239
```

Values from the calculation:
- ΔE_f (eV per atom) = 0.067
- E_tot (eV per cell) = -33.4
- Fermi-level density of states (states/eV/cell) = 5.70
- total magnetization (μB per formula unit) = 0.00

First-principles (PBE) data for crystalline SnAuSe2N at its relaxed geometry, as listed in Alexandria.

```
data_SnAuSe2N
_cell_length_a 5.390
_cell_length_b 5.390
_cell_length_c 3.826
_cell_angle_alpha 90.00
_cell_angle_beta 90.00
_cell_angle_gamma 90.00
_symmetry_space_group_name_H-M 'P 4/m m m'
_symmetry_Int_Tables_number 123
_symmetry_space_group_name_Hall '-P 4 2'
loop_
_atom_site_label
_atom_site_fract_x
_atom_site_fract_y
_atom_site_fract_z
Sn1 0.000 0.000 0.000
Au1 0.500 0.500 0.500
Se1 0.000 0.500 0.500
N1 0.500 0.500 0.000
```

Values from the calculation:
- E_tot (eV per cell) = -18.8
- formation energy (no corrections) (eV/atom) = 0.750
- Fermi-level density of states (states/eV/cell) = 4.20
- total magnetization (μB per formula unit) = 0.00

First-principles (PBE) data for crystalline CaPr3C at its relaxed geometry, as listed in Alexandria.

```
data_CaPr3C
_cell_length_a 5.345
_cell_length_b 5.345
_cell_length_c 5.345
_cell_angle_alpha 90.00
_cell_angle_beta 90.00
_cell_angle_gamma 90.00
_symmetry_space_group_name_H-M 'P m -3 m'
_symmetry_Int_Tables_number 221
_symmetry_space_group_name_Hall '-P 4 2 3'
loop_
_atom_site_label
_atom_site_fract_x
_atom_site_fract_y
_atom_site_fract_z
Ca1 0.000 0.000 0.000
Pr1 0.000 0.500 0.500
C1 0.500 0.500 0.500
```

Values from the calculation:
- ΔE_f (eV per atom) = 0.101
- E_tot (eV per cell) = -25.1
- Fermi-level density of states (states/eV/cell) = 7.40
- total magnetization (μB per formula unit) = 0.00

First-principles (PBE) data for crystalline K2CaMo at its relaxed geometry, as listed in Alexandria.

```
data_K2CaMo
_cell_length_a 3.840
_cell_length_b 3.840
_cell_length_c 11.315
_cell_angle_alpha 90.00
_cell_angle_beta 90.28
_cell_angle_gamma 90.00
_symmetry_space_group_name_H-M 'P 1 m 1'
_symmetry_Int_Tables_number 6
_symmetry_space_group_name_Hall 'P -2y'
loop_
_atom_site_label
_atom_site_fract_x
_atom_site_fract_y
_atom_site_fract_z
K1 0.000 0.000 0.000
K2 0.491 0.500 0.350
Ca1 0.496 0.500 0.705
Mo1 0.994 0.000 0.565
```

Values from the calculation:
- ΔE_f (eV per atom) = 0.945
- E_tot (eV per cell) = -11.2
- Fermi-level density of states (states/eV/cell) = 4.24
- total magnetization (μB per formula unit) = 3.16

First-principles (PBE) data for crystalline Li2DyCd at its relaxed geometry, as listed in Alexandria.

```
data_Li2DyCd
_cell_length_a 4.505
_cell_length_b 4.505
_cell_length_c 4.655
_cell_angle_alpha 90.00
_cell_angle_beta 90.00
_cell_angle_gamma 90.00
_symmetry_space_group_name_H-M 'P 4/m m m'
_symmetry_Int_Tables_number 123
_symmetry_space_group_name_Hall '-P 4 2'
loop_
_atom_site_label
_atom_site_fract_x
_atom_site_fract_y
_atom_site_fract_z
Li1 0.000 0.500 0.000
Dy1 0.000 0.000 0.500
Cd1 0.500 0.500 0.500
```

Values from the calculation:
- ΔE_f (eV per atom) = 0.016
- E_tot (eV per cell) = -9.3
- Fermi-level density of states (states/eV/cell) = 5.15
- total magnetization (μB per formula unit) = 0.02

First-principles (PBE) data for crystalline InSn2IrSe at its relaxed geometry, as listed in Alexandria.

```
data_InSn2IrSe
_cell_length_a 5.535
_cell_length_b 5.535
_cell_length_c 5.075
_cell_angle_alpha 90.00
_cell_angle_beta 90.00
_cell_angle_gamma 90.00
_symmetry_space_group_name_H-M 'P 4/m m m'
_symmetry_Int_Tables_number 123
_symmetry_space_group_name_Hall '-P 4 2'
loop_
_atom_site_label
_atom_site_fract_x
_atom_site_fract_y
_atom_site_fract_z
In1 0.000 0.000 0.000
Sn1 0.000 0.500 0.000
Ir1 0.500 0.500 0.500
Se1 0.000 0.000 0.500
```

Values from the calculation:
- E_tot (eV per cell) = -16.4
- formation energy (no corrections) (eV/atom) = 1.336
- Fermi-level density of states (states/eV/cell) = 5.60
- total magnetization (μB per formula unit) = 1.42

First-principles (PBE) data for crystalline ScCoN3 at its relaxed geometry, as listed in Alexandria.

```
data_ScCoN3
_cell_length_a 4.034
_cell_length_b 4.034
_cell_length_c 4.034
_cell_angle_alpha 90.00
_cell_angle_beta 90.00
_cell_angle_gamma 90.00
_symmetry_space_group_name_H-M 'P m -3 m'
_symmetry_Int_Tables_number 221
_symmetry_space_group_name_Hall '-P 4 2 3'
loop_
_atom_site_label
_atom_site_fract_x
_atom_site_fract_y
_atom_site_fract_z
Sc1 0.000 0.000 0.000
Co1 0.500 0.500 0.500
N1 0.000 0.000 0.500
```

Values from the calculation:
- E_tot (eV per cell) = -30.8
- formation energy (no corrections) (eV/atom) = 1.530
- Fermi-level density of states (states/eV/cell) = 4.36
- total magnetization (μB per formula unit) = 1.61

First-principles (PBE) data for crystalline TiInCu2Ir at its relaxed geometry, as listed in Alexandria.

```
data_TiInCu2Ir
_cell_length_a 4.445
_cell_length_b 4.445
_cell_length_c 5.101
_cell_angle_alpha 90.00
_cell_angle_beta 90.00
_cell_angle_gamma 90.00
_symmetry_space_group_name_H-M 'P 4/m m m'
_symmetry_Int_Tables_number 123
_symmetry_space_group_name_Hall '-P 4 2'
loop_
_atom_site_label
_atom_site_fract_x
_atom_site_fract_y
_atom_site_fract_z
Ti1 0.000 0.000 0.000
In1 0.000 0.000 0.500
Cu1 0.000 0.500 0.000
Ir1 0.500 0.500 0.500
```

Values from the calculation:
- ΔE_f (eV per atom) = 1.542
- E_tot (eV per cell) = -20.0
- Fermi-level density of states (states/eV/cell) = 5.04
- total magnetization (μB per formula unit) = 1.12

First-principles (PBE) data for crystalline LaTl2Pt at its relaxed geometry, as listed in Alexandria.

```
data_LaTl2Pt
_cell_length_a 4.049
_cell_length_b 4.100
_cell_length_c 6.999
_cell_angle_alpha 90.00
_cell_angle_beta 106.78
_cell_angle_gamma 90.00
_symmetry_space_group_name_H-M 'P 1 m 1'
_symmetry_Int_Tables_number 6
_symmetry_space_group_name_Hall 'P -2y'
loop_
_atom_site_label
_atom_site_fract_x
_atom_site_fract_y
_atom_site_fract_z
La1 0.000 0.000 0.000
Tl1 0.334 0.500 0.670
Tl2 0.721 0.000 0.446
Pt1 0.561 0.500 0.120
```

Values from the calculation:
- ΔE_f (eV per atom) = -0.516
- E_tot (eV per cell) = -17.8
- Fermi-level density of states (states/eV/cell) = 1.89
- total magnetization (μB per formula unit) = 0.00

First-principles (PBE) data for crystalline Sm4GeIrCl2 at its relaxed geometry, as listed in Alexandria.

```
data_Sm4GeIrCl2
_cell_length_a 7.433
_cell_length_b 4.112
_cell_length_c 7.453
_cell_angle_alpha 90.00
_cell_angle_beta 108.07
_cell_angle_gamma 90.00
_symmetry_space_group_name_H-M 'P 1 2/m 1'
_symmetry_Int_Tables_number 10
_symmetry_space_group_name_Hall '-P 2y'
loop_
_atom_site_label
_atom_site_fract_x
_atom_site_fract_y
_atom_site_fract_z
Sm1 0.225 0.000 0.209
Sm2 0.247 0.500 0.784
Ge1 0.500 0.000 0.000
Ir1 0.000 0.500 0.000
Cl1 0.000 0.000 0.500
Cl2 0.500 0.500 0.500
```

Values from the calculation:
- E_tot (eV per cell) = -45.4
- formation energy (no corrections) (eV/atom) = -1.172
- Fermi-level density of states (states/eV/cell) = 6.20
- total magnetization (μB per formula unit) = 0.00

First-principles (PBE) data for crystalline RbSrPb3 at its relaxed geometry, as listed in Alexandria.

```
data_RbSrPb3
_cell_length_a 6.131
_cell_length_b 6.131
_cell_length_c 6.131
_cell_angle_alpha 90.00
_cell_angle_beta 90.00
_cell_angle_gamma 90.00
_symmetry_space_group_name_H-M 'P m -3 m'
_symmetry_Int_Tables_number 221
_symmetry_space_group_name_Hall '-P 4 2 3'
loop_
_atom_site_label
_atom_site_fract_x
_atom_site_fract_y
_atom_site_fract_z
Rb1 0.000 0.000 0.000
Sr1 0.500 0.500 0.500
Pb1 0.000 0.000 0.500
```

Values from the calculation:
- ΔE_f (eV per atom) = 0.634
- E_tot (eV per cell) = -10.6
- Fermi-level density of states (states/eV/cell) = 5.52
- total magnetization (μB per formula unit) = 0.00

First-principles (PBE) data for crystalline CsRb at its relaxed geometry, as listed in Alexandria.

```
data_CsRb
_cell_length_a 13.192
_cell_length_b 14.212
_cell_length_c 18.321
_cell_angle_alpha 90.00
_cell_angle_beta 90.00
_cell_angle_gamma 90.00
_symmetry_space_group_name_H-M 'F d d d'
_symmetry_Int_Tables_number 70
loop_
_symmetry_equiv_pos_as_xyz
'x,y,z'
'-x,-y,-z'
'-x+1/4,-y+1/4,z'
'x+1/4,y+1/4,-z'
'x,-y+1/4,-z+1/4'
'-x,y+1/4,z+1/4'
'-x+1/4,y,-z+1/4'
'x+1/4,-y,z+1/4'
'x,y+1/2,z+1/2'
'-x,-y+1/2,-z+1/2'
'-x+1/4,-y+3/4,z+1/2'
'x+1/4,y+3/4,-z+1/2'
'x,-y+3/4,-z+3/4'
'-x,y+3/4,z+3/4'
'-x+1/4,y+1/2,-z+3/4'
'x+1/4,-y+1/2,z+3/4'
'x+1/2,y,z+1/2'
'-x+1/2,-y,-z+1/2'
'-x+3/4,-y+1/4,z+1/2'
'x+3/4,y+1/4,-z+1/2'
'x+1/2,-y+1/4,-z+3/4'
'-x+1/2,y+1/4,z+3/4'
'-x+3/4,y,-z+3/4'
'x+3/4,-y,z+3/4'
'x+1/2,y+1/2,z'
'-x+1/2,-y+1/2,-z'
'-x+3/4,-y+3/4,z'
'x+3/4,y+3/4,-z'
'x+1/2,-y+3/4,-z+1/4'
'-x+1/2,y+3/4,z+1/4'
'-x+3/4,y+1/2,-z+1/4'
'x+3/4,-y+1/2,z+1/4'
loop_
_atom_site_label
_atom_site_fract_x
_atom_site_fract_y
_atom_site_fract_z
Cs1 0.125 0.307 0.125
Rb1 0.047 0.375 0.875
```

Values from the calculation:
- ΔE_f (eV per atom) = 0.057
- E_tot (eV per cell) = -27.3
- Fermi-level density of states (states/eV/cell) = 32.73
- total magnetization (μB per formula unit) = 0.00